# 1
DFT (PBE with a Hubbard U) results for a relaxed AlFe2O4 crystal.

Results
size of the total moment = 9.0 μB/cell
excess energy over the best structure of this formula in the dataset = 126.2 meV per atom
symmetry = No. 12

Cell: 2.9122 5.2112 5.6235 Å, 119.96 105.01 90.00°
Each line ends with the local moment (μB).
Atoms (fractional coordinates):
O  0.6250  0.2691  0.2499  0.13
Fe  0.2959  0.2886  0.5919  4.08
Al  0.0000  0.0000  0.0000  0.01
O  0.1192  0.8399  0.2385  0.20
O  0.3750  0.7309  0.7501  0.13
O  0.8808  0.1601  0.7615  0.20
Fe  0.7041  0.7114  0.4081  4.08

=====

# 2
DFT (PBE with a Hubbard U) results for a relaxed AlFeO2 crystal.

Results
size of the total moment = 6.3 μB/cell
symmetry = No. 122
DFT total energy = -52.53 eV for the cell shown

Cell: 4.7765 4.7765 5.3866 Å, 63.68 63.68 90.00°
Each line ends with the local moment (μB).
Atoms (fractional coordinates):
Fe  0.7500  0.2500  0.5000  3.17
O  0.3750  0.4531  0.7500  0.01
Fe  0.0000  0.0000  0.0000  3.17
Al  0.2500  0.7500  0.5000  0.00
O  0.8750  0.7969  0.7500  0.01
O  0.5469  0.1250  0.2500  0.01
Al  0.5000  0.5000  0.0000  0.00
O  0.2031  0.6250  0.2500  0.00

=====

# 3
DFT (PBE with a Hubbard U) results for a relaxed Al2FeO4 crystal.

Results
size of the total moment = 8.0 μB/cell
excess energy over the best structure of this formula in the dataset = 0.0 meV per atom
symmetry = No. 70

Cell: 5.8538 5.7850 5.8541 Å, 60.42 88.61 119.58°
Each line ends with the local moment (μB).
Atoms (fractional coordinates):
Al  0.0000  0.5000  0.5000  0.01
Al  0.5000  0.0000  0.5000  0.01
O  0.7683  0.0290  0.2679  0.03
O  0.2321  0.5290  0.7317  0.03
O  0.2393  0.9710  0.2969  0.03
O  0.7679  0.4710  0.2683  0.03
O  0.7969  0.5290  0.7393  0.03
Fe  0.3750  0.2500  0.8750  3.74
Al  0.0000  0.5000  0.0000  0.01
Fe  0.6250  0.7500  0.1250  3.74
Al  0.0000  0.0000  0.5000  0.01
O  0.7607  0.0290  0.7031  0.03
O  0.2031  0.4710  0.2607  0.03
O  0.2317  0.9710  0.7321  0.03